# CrCdCo2 PBE optimized geometry
data_CrCdCo2
_chemical_formula_sum 'Cr1 Cd1 Co2'
_space_group_name_H-M_alt 'P 1'
_space_group_IT_number 1
_cell_length_a 4.3189
_cell_length_b 4.3189
_cell_length_c 4.3189
_cell_angle_alpha 60.00
_cell_angle_beta 60.00
_cell_angle_gamma 60.00
loop_
_space_group_symop_operation_xyz
'x,y,z'
loop_
_atom_site_label
_atom_site_fract_x
_atom_site_fract_y
_atom_site_fract_z
Cr1 0.2500 0.2500 0.2500
Cd1 0.5000 0.5000 0.5000
Co1 0.7500 0.7500 0.7500
Co2 0.0000 0.0000 0.0000
# Calculated formation energy in kJ/mol of atoms: 48.1
# SG: No. 216

***

# Pr3TlI7 PBE optimized geometry
data_Pr3TlI7
_chemical_formula_sum 'Pr3 Tl1 I7'
_space_group_name_H-M_alt 'P 1'
_space_group_IT_number 1
_cell_length_a 7.5976
_cell_length_b 8.6460
_cell_length_c 8.6460
_cell_angle_alpha 120.00
_cell_angle_beta 90.00
_cell_angle_gamma 90.00
loop_
_space_group_symop_operation_xyz
'x,y,z'
loop_
_atom_site_label
_atom_site_fract_x
_atom_site_fract_y
_atom_site_fract_z
Pr1 0.7895 0.4926 0.5074
Pr2 0.7895 0.0149 0.5074
Pr3 0.7895 0.4926 0.9851
Tl1 0.4028 0.3333 0.6667
I1 0.5456 0.8372 0.1628
I2 0.5456 0.8372 0.6744
I3 0.0526 0.1653 0.8347
I4 0.5456 0.3256 0.1628
I5 0.0526 0.6694 0.8347
I6 0.0526 0.1653 0.3306
I7 0.0495 0.6667 0.3333
# SG: No. 156
# E_form (uncorrected) in eV/atom: -1.073

***

Number 1: DOS(E_F) 4.73 states/eV per cell. Number 2: DOS(E_F) 4.59 states/eV per cell.